Record 1
Material: BaTi2Ir
Method: DFT, PBEsol
State: optimized geometry

```
data_BaTi2Ir
_cell_length_a 6.6459
_cell_length_b 6.6459
_cell_length_c 6.6459
_cell_angle_alpha 90.00
_cell_angle_beta 90.00
_cell_angle_gamma 90.00
_symmetry_space_group_name_H-M 'F m -3 m'
_symmetry_Int_Tables_number 225
_symmetry_space_group_name_Hall '-F 4 2 3'
loop_
_atom_site_label
_atom_site_type_symbol
_atom_site_fract_x
_atom_site_fract_y
_atom_site_fract_z
Ba1 Ba 0.0000 0.0000 0.0000
Ti1 Ti 0.2500 0.2500 0.2500
Ir1 Ir 0.0000 0.0000 0.5000
```

Computed properties:
- energy relative to the elements (eV/atom) = 0.33
- total DFT energy (no corrections) (eV per atom) = -6.8199
- V (Å³/f.u.) = 73.4

=====

Record 2
Material: Ba3TlIr
Method: DFT, PBEsol
State: optimized geometry

```
data_Ba3TlIr
_cell_length_a 6.2531
_cell_length_b 6.2531
_cell_length_c 6.2531
_cell_angle_alpha 90.00
_cell_angle_beta 90.00
_cell_angle_gamma 90.00
_symmetry_space_group_name_H-M 'P m -3 m'
_symmetry_Int_Tables_number 221
_symmetry_space_group_name_Hall '-P 4 2 3'
loop_
_atom_site_label
_atom_site_type_symbol
_atom_site_fract_x
_atom_site_fract_y
_atom_site_fract_z
Ba1 Ba 0.0000 0.0000 0.5000
Tl1 Tl 0.0000 0.0000 0.0000
Ir1 Ir 0.5000 0.5000 0.5000
```

Computed properties:
- energy relative to the elements (eV/atom) = 0.92
- total DFT energy (no corrections) (eV per atom) = -2.8637
- V (Å³/f.u.) = 244.5

=====

Record 3
Material: BaTl2Ir
Method: DFT, PBEsol
State: optimized geometry

```
data_BaTl2Ir
_cell_length_a 4.7298
_cell_length_b 4.7298
_cell_length_c 17.3585
_cell_angle_alpha 90.00
_cell_angle_beta 90.00
_cell_angle_gamma 120.00
_symmetry_space_group_name_H-M 'R 3 m'
_symmetry_Int_Tables_number 160
_symmetry_space_group_name_Hall 'R 3 -2"'
loop_
_atom_site_label
_atom_site_type_symbol
_atom_site_fract_x
_atom_site_fract_y
_atom_site_fract_z
Ba1 Ba 0.0000 0.0000 0.0000
Tl1 Tl 0.0000 0.0000 0.2095
Tl2 Tl 0.0000 0.0000 0.4539
Ir1 Ir 0.0000 0.0000 0.8128
```

Computed properties:
- energy relative to the elements (eV/atom) = -0.05
- total DFT energy (no corrections) (eV per atom) = -4.3556
- V (Å³/f.u.) = 112.1